First-principles (PBE-GGA) data for crystalline BaW3Au at its relaxed geometry, as listed in Alexandria via LeMat-Bulk.

Cell: 5.0650 5.0650 5.0650 Å, 90.00 90.00 90.00°
Last column: nearest neighbours and their distance in Å.
Positions (direct):
1 W 0.0000 0.5000 0.0000  2 Au 2.53
2 W 0.0000 0.0000 0.5000  2 Au 2.53
3 W 0.5000 0.0000 0.0000  2 Au 2.53
4 Ba 0.5000 0.5000 0.5000  12 W 3.58
5 Au 0.0000 0.0000 0.0000  6 W 2.53

Output
Calculated total energy (eV/atom): -6.4124
Spin magnetization (μB per cell): 3.63
Crystal system: cubic

First-principles (PBE-GGA) data for crystalline Nd2LuSi at its relaxed geometry, as listed in Alexandria via LeMat-Bulk.

Cell: 3.6833 3.6833 11.0350 Å, 80.39 80.39 60.00°
Last column: nearest neighbours and their distance in Å.
Positions (direct):
1 Nd 0.8946 0.8946 0.3162  3 Si 2.91
2 Lu 0.0000 0.0000 0.0000  2 Nd 3.42, 6 Lu 3.68
3 Si 0.5000 0.5000 0.5000  6 Nd 2.91
4 Nd 0.1054 0.1054 0.6838  3 Si 2.91

Output
Relative energy among the computed polymorphs (eV per atom): 0.324
Spin magnetization (μB per cell): 0.00
Crystal system: trigonal
Raw formation energy (eV per atom): 0.095

First-principles (PBE-GGA) data for crystalline NbSnMo at its relaxed geometry, as listed in Alexandria via LeMat-Bulk.

Cell: 2.9368 4.6566 4.6566 Å, 120.00 90.00 90.00°
Last column: nearest neighbours and their distance in Å.
Positions (direct):
1 Nb 0.9505 0.0000 0.0000  3 Mo 2.80, 2 Nb 2.94, 3 Sn 2.95
2 Mo 0.6882 0.3333 0.6667  3 Nb 2.80, 3 Sn 2.85, 2 Mo 2.94
3 Sn 0.3612 0.6667 0.3333  3 Mo 2.85, 2 Sn 2.94, 6 Nb 2.95-3.20

Output
Relative energy among the computed polymorphs (eV per atom): 0.126
Spin magnetization (μB per cell): 0.00
Crystal system: trigonal

First-principles (PBE-GGA) data for crystalline SmTh4Tl5 at its relaxed geometry, as listed in Alexandria via LeMat-Bulk.

Cell: 3.5574 3.5574 22.9656 Å, 90.00 90.00 90.00°
Last column: nearest neighbours and their distance in Å.
Positions (direct):
1 Tl 0.5000 0.5000 0.2985  8 Th 3.42, 4 Tl 3.56
2 Th 0.0000 0.0000 0.8021  8 Tl 3.42, 4 Th 3.56
3 Tl 0.5000 0.5000 0.9032  4 Sm 3.36, 4 Th 3.42, 4 Tl 3.56
4 Tl 0.5000 0.5000 0.5000  8 Th 3.42, 4 Tl 3.56
5 Th 0.0000 0.0000 0.1979  8 Tl 3.42, 4 Th 3.56
6 Sm 0.0000 0.0000 0.0000  8 Tl 3.36, 4 Sm 3.56
7 Th 0.0000 0.0000 0.6009  8 Tl 3.42, 4 Th 3.56
8 Tl 0.5000 0.5000 0.0968  4 Sm 3.36, 4 Th 3.42, 4 Tl 3.56
9 Th 0.0000 0.0000 0.3991  8 Tl 3.42, 4 Th 3.56
10 Tl 0.5000 0.5000 0.7015  8 Th 3.42, 4 Tl 3.56

Output
Calculated total energy (eV/atom): -4.8108
Spin magnetization (μB per cell): 0.00
Crystal system: tetragonal

First-principles (PBE-GGA) data for crystalline Li2AsH at its relaxed geometry, as listed in Alexandria via LeMat-Bulk.

Cell: 2.9489 2.9489 6.7240 Å, 77.33 77.33 60.00°
Last column: nearest neighbours and their distance in Å.
Positions (direct):
1 H 0.0000 0.0000 0.0000  6 Li 2.04
2 As 0.5000 0.5000 0.5000  6 Li 2.72, 6 As 2.95
3 Li 0.7247 0.7247 0.8260  3 H 2.04
4 Li 0.2753 0.2753 0.1740  3 H 2.04

Output
Relative energy among the computed polymorphs (eV per atom): 0.000
Spin magnetization (μB per cell): 0.00
Crystal system: trigonal

First-principles (PBE-GGA) data for crystalline Na6Hg2Ge at its relaxed geometry, as listed in Alexandria via LeMat-Bulk.

Cell: 5.3479 5.3479 10.5809 Å, 75.36 75.36 60.00°
Last column: nearest neighbours and their distance in Å.
Positions (direct):
1 Na 0.1913 0.1913 0.4262  1 Hg 3.10, 3 Na 3.43
2 Hg 0.0890 0.0890 0.7329  1 Ge 2.70
3 Na 0.3066 0.3066 0.0802  3 Ge 3.19, 8 Na 3.40-3.56
4 Na 0.5815 0.5815 0.2556  3 Hg 3.09, 1 Na 3.40
5 Ge 0.0000 0.0000 0.0000  2 Hg 2.70
6 Na 0.4185 0.4185 0.7444  3 Hg 3.09, 1 Na 3.40
7 Hg 0.9110 0.9110 0.2671  1 Ge 2.70
8 Na 0.6934 0.6934 0.9198  3 Ge 3.19, 8 Na 3.40-3.56
9 Na 0.8087 0.8087 0.5738  1 Hg 3.10, 3 Na 3.43

Output
Calculated total energy (eV/atom): -1.5911
Spin magnetization (μB per cell): 0.00
Crystal system: trigonal

First-principles (PBE-GGA) data for crystalline NbGa at its relaxed geometry, as listed in Alexandria via LeMat-Bulk.

Cell: 5.0248 5.2309 10.1214 Å, 90.00 90.00 90.00°
Last column: nearest neighbours and their distance in Å.
Positions (direct):
1 Ga 0.5000 0.0704 0.7500  4 Ga 2.51-2.61, 2 Nb 2.78
2 Ga 0.0000 0.0704 0.7500  4 Ga 2.51-2.61, 2 Nb 2.78
3 Ga 0.7500 0.3701 0.9142  2 Ga 2.61, 4 Nb 2.64-2.76
4 Ga 0.7500 0.6299 0.4142  2 Ga 2.61, 4 Nb 2.64-2.76
5 Nb 0.7500 0.8599 0.9855  8 Ga 2.66-2.98, 2 Nb 2.92
6 Nb 0.2500 0.1401 0.0145  8 Ga 2.66-2.98, 2 Nb 2.92
7 Nb 0.7500 0.3802 0.1751  4 Ga 2.64-2.78, 2 Nb 2.93
8 Ga 0.5000 0.9296 0.2500  4 Ga 2.51-2.61, 2 Nb 2.78
9 Ga 0.2500 0.3701 0.5858  2 Ga 2.61, 4 Nb 2.64-2.76
10 Nb 0.2500 0.3802 0.3249  4 Ga 2.64-2.78, 2 Nb 2.93
11 Nb 0.2500 0.8599 0.5145  8 Ga 2.66-2.98, 2 Nb 2.92
12 Ga 0.0000 0.9296 0.2500  4 Ga 2.51-2.61, 2 Nb 2.78
13 Nb 0.2500 0.6198 0.8249  4 Ga 2.64-2.78, 2 Nb 2.93
14 Ga 0.2500 0.6299 0.0858  2 Ga 2.61, 4 Nb 2.64-2.76
15 Nb 0.7500 0.1401 0.4855  8 Ga 2.66-2.98, 2 Nb 2.92
16 Nb 0.7500 0.6198 0.6751  4 Ga 2.64-2.78, 2 Nb 2.93

Output
Calculated total energy (eV/atom): -6.8551
Spin magnetization (μB per cell): 0.00
Crystal system: orthorhombic

First-principles (PBE-GGA) data for crystalline CdAgMo2 at its relaxed geometry, as listed in Alexandria via LeMat-Bulk.

Cell: 3.6455 3.6455 5.5392 Å, 90.00 90.00 90.00°
Last column: nearest neighbours and their distance in Å.
Positions (direct):
1 Ag 0.5000 0.5000 0.2500  2 Cd 2.77, 8 Mo 2.81
2 Cd 0.5000 0.5000 0.7500  2 Ag 2.77, 8 Mo 3.06
3 Mo 0.0000 0.0000 0.0474  1 Mo 2.24
4 Mo 0.0000 0.0000 0.4526  1 Mo 2.24

Output
Calculated total energy (eV/atom): -5.6570
Spin magnetization (μB per cell): 0.00
Crystal system: tetragonal

First-principles (PBE-GGA) data for crystalline Ti5Mn2Al2Co at its relaxed geometry, as listed in Alexandria via LeMat-Bulk.

Cell: 3.0175 10.0076 10.0076 Å, 90.00 90.00 90.00°
Last column: nearest neighbours and their distance in Å.
Positions (direct):
1 Ti 0.5000 0.0000 0.5000  4 Mn 2.42
2 Al 0.0000 0.8275 0.6725  1 Mn 2.74, 6 Ti 2.87-2.98, 2 Al 3.02
3 Al 0.0000 0.3275 0.8275  1 Mn 2.74, 6 Ti 2.87-2.98, 2 Al 3.02
4 Ti 0.5000 0.3058 0.5711  2 Mn 2.37, 2 Co 2.56
5 Ti 0.5000 0.4289 0.3058  2 Mn 2.37, 2 Co 2.56
6 Ti 0.5000 0.9289 0.1942  2 Mn 2.37, 2 Co 2.56
7 Ti 0.5000 0.0711 0.8058  2 Mn 2.37, 2 Co 2.56
8 Mn 0.0000 0.8659 0.3659  6 Ti 2.37-2.42
9 Ti 0.5000 0.8058 0.9289  2 Mn 2.37, 2 Co 2.56
10 Mn 0.0000 0.3659 0.1341  6 Ti 2.37-2.42
11 Al 0.0000 0.6725 0.1725  1 Mn 2.74, 6 Ti 2.87-2.98, 2 Al 3.02
12 Co 0.0000 0.5000 0.5000  8 Ti 2.56
13 Mn 0.0000 0.1341 0.6341  6 Ti 2.37-2.42
14 Co 0.0000 0.0000 0.0000  8 Ti 2.56
15 Mn 0.0000 0.6341 0.8659  6 Ti 2.37-2.42
16 Ti 0.5000 0.5711 0.6942  2 Mn 2.37, 2 Co 2.56
17 Ti 0.5000 0.6942 0.4289  2 Mn 2.37, 2 Co 2.56
18 Ti 0.5000 0.1942 0.0711  2 Mn 2.37, 2 Co 2.56
19 Ti 0.5000 0.5000 0.0000  4 Mn 2.42
20 Al 0.0000 0.1725 0.3275  1 Mn 2.74, 6 Ti 2.87-2.98, 2 Al 3.02

Output
Calculated total energy (eV/atom): -7.4132
Spin magnetization (μB per cell): 0.01
Crystal system: tetragonal

First-principles (PBE-GGA) data for crystalline LaDy4In at its relaxed geometry, as listed in Alexandria via LeMat-Bulk.

Cell: 5.5213 11.2016 6.8719 Å, 90.00 90.00 119.54°
Last column: nearest neighbours and their distance in Å.
Positions (direct):
1 La 0.6771 0.4270 0.7500  7 Dy 3.31-3.70
2 Dy 0.6704 0.9201 0.2500  4 In 3.11-3.44, 1 La 3.38
3 Dy 0.9878 0.2382 0.9963  7 Dy 3.39-3.59, 3 In 3.43-3.66, 3 La 3.70-3.73
4 In 0.3183 0.0680 0.2500  7 Dy 3.08-3.44
5 Dy 0.3296 0.0799 0.7500  4 In 3.11-3.44, 1 La 3.38
6 In 0.6817 0.9320 0.7500  7 Dy 3.08-3.44
7 Dy 0.6342 0.3846 0.2500  1 In 3.08, 2 La 3.31-3.32
8 Dy 0.0122 0.7618 0.0037  7 Dy 3.39-3.59, 3 In 3.43-3.66, 3 La 3.70-3.73
9 Dy 0.9878 0.2382 0.5037  7 Dy 3.39-3.59, 3 In 3.43-3.66, 3 La 3.70-3.73
10 La 0.3229 0.5730 0.2500  7 Dy 3.31-3.70
11 Dy 0.0122 0.7618 0.4963  7 Dy 3.39-3.59, 3 In 3.43-3.66, 3 La 3.70-3.73
12 Dy 0.3658 0.6154 0.7500  1 In 3.08, 2 La 3.31-3.32

Output
Relative energy among the computed polymorphs (eV per atom): 0.026
Spin magnetization (μB per cell): 0.00
Crystal system: orthorhombic

First-principles (PBE-GGA) data for crystalline SrHg2Ir at its relaxed geometry, as listed in Alexandria via LeMat-Bulk.

Cell: 3.6147 3.6147 7.3884 Å, 90.00 90.00 90.00°
Last column: nearest neighbours and their distance in Å.
Positions (direct):
1 Hg 0.5000 0.5000 0.2884  4 Ir 2.83, 4 Hg 3.15
2 Hg 0.0000 0.0000 0.0387  1 Ir 3.06, 4 Hg 3.15
3 Ir 0.0000 0.0000 0.4524  5 Hg 2.83-3.06
4 Sr 0.5000 0.5000 0.7204  5 Hg 3.19-3.47, 4 Ir 3.23

Output
Calculated total energy (eV/atom): -2.7216
Spin magnetization (μB per cell): 0.00
Crystal system: tetragonal

First-principles (PBE-GGA) data for crystalline CeNdHgBi at its relaxed geometry, as listed in Alexandria via LeMat-Bulk.

Cell: 5.5084 5.5084 5.5084 Å, 60.00 60.00 60.00°
Last column: nearest neighbours and their distance in Å.
Positions (direct):
1 Hg 0.2500 0.2500 0.2500  4 Ce 3.37, 4 Nd 3.37
2 Nd 0.0000 0.0000 0.0000  4 Hg 3.37, 4 Bi 3.37
3 Ce 0.5000 0.5000 0.5000  4 Bi 3.37, 4 Hg 3.37
4 Bi 0.7500 0.7500 0.7500  4 Nd 3.37, 4 Ce 3.37

Output
Calculated total energy (eV/atom): -4.2305
Spin magnetization (μB per cell): 1.68
Crystal system: cubic

> Look up the spin magnetization of the third one.

0.00 μB per cell

> Which of these has the highest spin magnetization?

BaW3Au